No. 1
Computed, not measured: an optimized crystal structure of AcLa3PmY at the GGA-PBE level of DFT.

Output
- ΔE_f: 28 meV/atom
- Space group: P2_1/m, No. 11
- VASP energy: -59.87 eV per cell
- Volume: 37.1 Å³/atom
- Total magnetic moment: 0.0 μB per cell

Cell: 5.328 8.288 11.201 Å, 115.89 90.00 90.00°
Atoms (fractional coordinates):
Y  0.750  0.380  0.877
Y  0.250  0.620  0.123
Ac  0.750  0.878  0.708
Ac  0.250  0.122  0.292
La  0.250  0.620  0.793
La  0.750  0.375  0.545
La  0.250  0.131  0.960
La  0.750  0.380  0.207
La  0.750  0.869  0.040
La  0.250  0.625  0.455
Pm  0.750  0.870  0.373
Pm  0.250  0.130  0.627

No. 2
Computed, not measured: an optimized crystal structure of Mg2TaFe at the GGA-PBE level of DFT.

Output
- ΔE_f: 327 meV/atom
- Space group: Cmmm, No. 65
- VASP energy: -22.20 eV per cell
- Volume: 17.2 Å³/atom
- Total magnetic moment: 2.3 μB per cell

Cell: 2.761 2.761 9.440 Å, 90.00 90.00 106.81°
Site moments in Bohr magnetons follow the coordinates.
Atoms (fractional coordinates):
Mg  0.000  0.000  0.979  -0.02
Mg  0.000  0.000  0.521  -0.02
Ta  0.500  0.500  0.250  -0.04
Fe  0.500  0.500  0.750  2.55

No. 3
Computed, not measured: an optimized crystal structure of BP2CS at the GGA-PBE level of DFT.

Output
- Space group: P4/mmm, No. 123
- VASP energy: -21.58 eV per cell
- Volume: 12.7 Å³/atom
- Total magnetic moment: 0.0 μB per cell
- Energy relative to the elements, uncorrected: 1854.3 meV/atom

Cell: 3.951 3.951 4.066 Å, 90.00 90.00 90.00°
Atoms (fractional coordinates):
P  0.500  0.000  0.000
P  0.000  0.500  0.000
S  0.000  0.000  0.500
C  0.000  0.000  0.000
B  0.500  0.500  0.500

No. 4
Computed, not measured: an optimized crystal structure of ZrCuCl4 at the GGA-PBE level of DFT.

Output
- Space group: F-43m, No. 216
- VASP energy: -16.83 eV per cell
- Volume: 20.9 Å³/atom
- Total magnetic moment: 0.8 μB per cell
- Energy relative to the elements, uncorrected: 533.5 meV/atom

Cell: 5.620 5.620 5.620 Å, 60.00 60.00 60.00°
Site moments in Bohr magnetons follow the coordinates.
Atoms (fractional coordinates):
Cl  0.375  0.375  0.875  0.17
Cl  0.375  0.375  0.375  0.17
Cl  0.375  0.875  0.375  0.17
Cl  0.875  0.375  0.375  0.17
Zr  0.000  0.000  0.000  0.00
Cu  0.750  0.750  0.750  0.00

No. 5
Computed, not measured: an optimized crystal structure of YErPtRh at the GGA-PBE level of DFT.

Output
- ΔE_f: -1058 meV/atom
- Space group: F-43m, No. 216
- VASP energy: -28.65 eV per cell
- Volume: 20.5 Å³/atom
- Total magnetic moment: 0.0 μB per cell

Cell: 4.879 4.879 4.879 Å, 60.00 60.00 60.00°
Atoms (fractional coordinates):
Pt  0.750  0.750  0.750
Er  0.000  0.000  0.000
Rh  0.250  0.250  0.250
Y  0.500  0.500  0.500

No. 6
Computed, not measured: an optimized crystal structure of Li3VCo at the GGA-PBE level of DFT.

Output
- ΔE_f: 982 meV/atom
- Space group: Pm-3m, No. 221
- VASP energy: -17.06 eV per cell
- Volume: 17.3 Å³/atom
- Total magnetic moment: 2.8 μB per cell

Cell: 4.426 4.426 4.426 Å, 90.00 90.00 90.00°
Site moments in Bohr magnetons follow the coordinates.
Atoms (fractional coordinates):
Li  0.000  0.000  0.500  0.04
Li  0.000  0.500  0.000  0.04
Li  0.500  0.000  0.000  0.04
Co  0.000  0.000  0.000  -1.22
V  0.500  0.500  0.500  2.94

No. 7
Computed, not measured: an optimized crystal structure of LiSc2Zn at the GGA-PBE level of DFT.

Output
- ΔE_f: -46 meV/atom
- Space group: Amm2, No. 38
- VASP energy: -16.04 eV per cell
- Volume: 19.9 Å³/atom
- Total magnetic moment: 0.0 μB per cell

Cell: 4.603 3.118 5.749 Å, 74.25 90.00 90.00°
Atoms (fractional coordinates):
Sc  0.000  0.962  0.952
Sc  0.500  0.287  0.300
Zn  0.000  0.692  0.490
Li  0.500  0.559  0.758

No. 8
Computed, not measured: an optimized crystal structure of Ba2Na3ReO6 at the GGA-PBE level of DFT.

Output
- Space group: C2/m, No. 12
- VASP energy: -71.97 eV per cell
- Volume: 16.5 Å³/atom
- Total magnetic moment: 2.0 μB per cell
- Energy relative to the elements, uncorrected: -1831.1 meV/atom

Cell: 6.493 6.493 5.922 Å, 98.90 98.90 122.91°
Site moments in Bohr magnetons follow the coordinates.
Atoms (fractional coordinates):
O  0.684  0.933  0.784  0.04
O  0.784  0.784  0.201  0.05
O  0.216  0.216  0.799  0.05
O  0.316  0.067  0.216  0.04
O  0.933  0.684  0.784  0.04
O  0.067  0.316  0.216  0.04
Na  0.123  0.877  0.500  0.01
Na  0.500  0.500  0.500  0.01
Na  0.877  0.123  0.500  0.01
Re  0.000  0.000  0.000  1.44
Ba  0.330  0.670  0.000  0.01
Ba  0.670  0.330  0.000  0.01

No. 9
Computed, not measured: an optimized crystal structure of Nd2Sm2Y4Ho at the GGA-PBE level of DFT.

Output
- ΔE_f: 0 meV/atom
- Space group: C2/m, No. 12
- VASP energy: -49.41 eV per cell
- Volume: 33.2 Å³/atom
- Total magnetic moment: 0.0 μB per cell

Cell: 3.635 9.606 9.666 Å, 115.20 90.00 100.91°
Atoms (fractional coordinates):
Y  0.185  0.370  0.335
Y  0.815  0.630  0.665
Y  0.519  0.038  0.333
Y  0.481  0.962  0.667
Nd  0.335  0.670  0.001
Nd  0.665  0.330  0.999
Sm  0.852  0.705  0.336
Sm  0.148  0.295  0.664
Ho  0.000  0.000  0.000

No. 10
Computed, not measured: an optimized crystal structure of RhW2I at the GGA-PBE level of DFT.

Output
- Space group: Fm-3m, No. 225
- VASP energy: -30.79 eV per cell
- Volume: 16.9 Å³/atom
- Total magnetic moment: 0.0 μB per cell
- Energy relative to the elements, uncorrected: 1005.3 meV/atom

Cell: 4.575 4.575 4.575 Å, 60.00 60.00 60.00°
Atoms (fractional coordinates):
I  0.500  0.500  0.500
W  0.750  0.750  0.750
W  0.250  0.250  0.250
Rh  0.000  0.000  0.000

No. 11
Computed, not measured: an optimized crystal structure of Fe2MoHOs at the GGA-PBE level of DFT.

Output
- Space group: P4/mmm, No. 123
- VASP energy: -41.96 eV per cell
- Volume: 10.6 Å³/atom
- Total magnetic moment: 0.0 μB per cell

Cell: 3.712 3.712 3.837 Å, 90.00 90.00 90.00°
Atoms (fractional coordinates):
Fe  0.500  0.000  0.000
Fe  0.000  0.500  0.000
H  0.000  0.000  0.000
Mo  0.000  0.000  0.500
Os  0.500  0.500  0.500

No. 12
Computed, not measured: an optimized crystal structure of YCoSn3 at the GGA-PBE level of DFT.

Output
- ΔE_f: -371 meV/atom
- Space group: Pbcm, No. 57
- VASP energy: -109.74 eV per cell
- Volume: 22.6 Å³/atom
- Total magnetic moment: 2.0 μB per cell

Cell: 5.988 6.137 12.311 Å, 90.00 90.00 90.00°
Site moments in Bohr magnetons follow the coordinates.
Atoms (fractional coordinates):
Sn  0.250  0.476  0.779  0.00
Sn  0.500  0.750  0.494  0.01
Sn  0.250  0.976  0.221  0.00
Sn  0.500  0.250  0.506  0.01
Sn  0.250  0.085  0.952  -0.01
Sn  0.250  0.585  0.048  -0.01
Sn  0.750  0.024  0.779  0.00
Sn  0.000  0.750  0.494  0.01
Sn  0.750  0.915  0.048  -0.01
Sn  0.750  0.524  0.221  0.00
Sn  0.000  0.250  0.506  0.01
Sn  0.750  0.415  0.952  -0.01
Co  0.500  0.750  0.889  0.48
Co  0.000  0.250  0.111  0.48
Co  0.500  0.250  0.111  0.48
Co  0.000  0.750  0.889  0.48
Y  0.250  0.478  0.299  0.01
Y  0.750  0.522  0.701  0.01
Y  0.750  0.022  0.299  0.01
Y  0.250  0.978  0.701  0.01